Compound: ScMnSi2
Source: Alexandria
Functional: GGA-PBE
Structure: relaxed

Cell: 2.9858 2.9858 24.6676 Å, 90.00 90.00 120.00°
Space group R3m (No. 160, hexagonal axes)
Unique sites:
Sc1 0.0000 0.0000 0.0000
Mn1 0.0000 0.0000 0.7555
Si1 0.0000 0.0000 0.2405
Si2 0.0000 0.0000 0.4962

Results
Raw formation energy   116 meV per atom
Spin magnetization   0.54 μB per atom